A relaxed structure of Pr3Ag2Pt3, computed with PBE.

Structure (extended XYZ):
```
16
Lattice="5.874 0.000 0.000 0.000 7.622 -4.401 0.000 0.000 8.801" Properties=species:S:1:pos:R:3 pbc="T T T"
Pr 4.405 2.321 -1.340
Pt 4.405 0.000 5.614
Pt 1.468 4.862 2.807
Pr 1.468 2.321 1.340
Pr 4.405 5.301 3.061
Pr 1.468 5.301 -3.061
Pt 4.405 4.862 -2.807
Ag 2.937 2.541 4.401
Pr 4.405 0.000 2.680
Ag 2.937 5.081 0.000
Pt 1.468 0.000 3.187
Pt 4.405 2.760 1.594
Ag 0.000 5.081 0.000
Pt 1.468 2.760 -1.594
Ag 0.000 2.541 4.401
Pr 1.468 0.000 6.122
```

Computed properties:
For the total energy, the calculation gives -0.20256 Ha/atom. The space-group type is P6_3/mcm (193).

---

A relaxed structure of PrPu2AgPt2, computed with PBE.

Structure (extended XYZ):
```
6
Lattice="-3.775 -2.798 1.913 3.963 -2.263 -2.215 2.943 -0.217 5.488" Properties=species:S:1:pos:R:3 pbc="T T T"
Pt 2.038 -2.489 0.381
Pt 1.093 -2.788 4.805
Pu 3.453 -2.594 3.020
Ag 1.471 -0.109 2.744
Pr 0.000 0.000 0.000
Pu -0.322 -2.684 2.166
```

Computed properties:
For the total energy, the calculation gives -0.31683 Ha/atom. The space-group type is P-3m1 (164).

---

A relaxed structure of Pr2AgSb4Pt3, computed with PBE.

Structure (extended XYZ):
```
10
Lattice="-1.724 -1.826 3.945 3.002 -3.570 -0.341 7.239 5.541 5.729" Properties=species:S:1:pos:R:3 pbc="T T T"
Ag 4.258 0.073 4.667
Sb 0.639 -2.698 1.802
Pt 2.405 -1.093 0.545
Sb 4.157 0.249 1.932
Pr 6.884 2.335 4.090
Pt 3.620 2.770 2.864
Pr 0.994 0.508 3.441
Sb 3.721 2.594 5.599
Pt 5.474 3.936 6.986
Sb 0.000 0.000 0.000
```

Computed properties:
The uncorrected formation energy comes out at -0.727 eV/atom. The space-group type is P-4m2 (115).

---

A relaxed structure of PrScAgPt, computed with PBE.

Structure (extended XYZ):
```
4
Lattice="5.013 0.000 0.000 2.507 4.342 0.000 2.507 1.447 4.093" Properties=species:S:1:pos:R:3 pbc="T T T"
Pr 0.000 0.000 0.000
Sc 5.013 2.895 2.047
Ag 2.507 1.447 1.023
Pt 7.520 4.342 3.070
```

Computed properties:
For the total energy, the calculation gives -0.20691 Ha/atom. The space-group type is F-43m (216).

---

A relaxed structure of Pr2Si4AgPt3, computed with PBE.

Structure (extended XYZ):
```
10
Lattice="-0.521 3.314 -2.695 -2.037 -2.580 -2.777 -8.718 2.181 4.368" Properties=species:S:1:pos:R:3 pbc="T T T"
Pr -7.603 0.358 1.910
Pr -2.394 2.191 -0.279
Ag -5.638 1.458 -0.553
Pt -4.359 1.091 2.184
Pt -2.035 -1.035 -0.879
Si 0.000 0.000 0.000
Pt -7.962 3.584 2.510
Si -4.162 -0.503 0.186
Si -1.279 0.367 -2.736
Si -5.835 3.052 1.445
```

Computed properties:
The uncorrected formation energy comes out at -0.951 eV/atom. The space-group type is P-4m2 (115).

---

A relaxed structure of Pr2Si3AgPt4, computed with PBE.

Structure (extended XYZ):
```
10
Lattice="-2.686 -2.070 -2.693 -2.451 -1.196 3.363 -5.500 8.447 -1.006" Properties=species:S:1:pos:R:3 pbc="T T T"
Pr -5.333 5.709 0.930
Si -6.173 6.383 -2.230
Ag -5.318 2.591 -0.168
Pr -2.736 1.105 -1.601
Pt -4.901 4.429 -1.997
Pt -3.168 2.385 1.326
Pt 0.000 0.000 0.000
Si -2.750 4.223 -0.503
Si -1.896 0.431 1.559
Pt -2.568 -1.633 0.335
```

Computed properties:
The uncorrected formation energy comes out at -0.922 eV/atom. The space-group type is P-4m2 (115).

---

A relaxed structure of Pr2Si3AgPt12, computed with PBE.

Structure (extended XYZ):
```
18
Lattice="7.660 -0.371 -0.263 3.461 6.844 -0.263 3.461 2.014 6.546" Properties=species:S:1:pos:R:3 pbc="T T T"
Pr 8.890 5.175 3.670
Pt 9.318 2.782 1.974
Pt 7.021 6.729 1.974
Pt 10.944 6.370 2.060
Pt 7.560 4.401 0.322
Pt 3.637 2.117 3.960
Pt 7.560 1.759 4.047
Pt 5.263 5.705 4.047
Si 3.830 -0.185 -0.132
Pt 10.944 4.051 5.331
Pt 8.927 7.516 5.331
Ag 0.000 0.000 0.000
Pt 5.655 0.972 0.689
Si 1.730 3.422 -0.132
Pr 5.692 3.313 2.350
Pt 3.637 4.437 0.689
Si 1.730 1.007 3.273
Pt 7.021 4.087 5.698
```

Computed properties:
The uncorrected formation energy comes out at -0.400 eV/atom. The space-group type is R-3m (166).

---

A relaxed structure of PrSmAgPt, computed with PBE.

Structure (extended XYZ):
```
4
Lattice="3.928 0.000 0.000 0.000 4.714 0.000 -1.964 0.000 5.519" Properties=species:S:1:pos:R:3 pbc="T T T"
Ag 1.964 2.357 0.898
Pr 0.000 0.000 1.546
Pt 0.000 0.000 4.580
Sm 1.964 2.357 4.015
```

Computed properties:
Its distance to the lowest polymorph of the same formula is 0.0 meV per atom. The space-group type is Amm2 (38).

---

A relaxed structure of PrSmAgPt, computed with PBE.

Structure (extended XYZ):
```
4
Lattice="5.182 0.000 0.000 2.591 4.487 0.000 2.591 1.496 4.231" Properties=species:S:1:pos:R:3 pbc="T T T"
Pr 5.182 2.992 2.115
Ag 2.591 1.496 1.058
Pt 7.773 4.487 3.173
Sm 0.000 0.000 0.000
```

Computed properties:
Its distance to the lowest polymorph of the same formula is 31.4 meV per atom. The space-group type is F-43m (216).

---

A relaxed structure of Pr2AgSn4Pt3, computed with PBE.

Structure (extended XYZ):
```
10
Lattice="-0.917 1.517 4.258 3.686 -2.264 1.600 6.179 8.788 -1.800" Properties=species:S:1:pos:R:3 pbc="T T T"
Pr 6.438 5.404 -0.538
Sn 0.000 0.000 0.000
Sn 4.101 2.079 0.142
Sn 3.462 6.335 0.987
Pt 3.089 4.394 -0.900
Sn 1.384 -0.373 2.929
Ag 4.474 4.020 2.029
Pt 2.621 -0.025 0.573
Pr 1.125 3.010 1.668
Pt 4.942 8.439 0.556
```

Computed properties:
For the total energy, the calculation gives -0.19879 Ha/atom. The space-group type is P-4m2 (115).

---

A relaxed structure of PrAgSnPt, computed with PBE.

Structure (extended XYZ):
```
4
Lattice="-2.711 -4.085 0.929 1.977 -4.524 -0.723 1.108 -2.893 3.912" Properties=species:S:1:pos:R:3 pbc="T T T"
Sn 0.187 -5.751 2.059
Pt 0.280 -8.626 3.089
Ag 0.093 -2.875 1.030
Pr 0.000 0.000 0.000
```

Computed properties:
For the total energy, the calculation gives -0.18483 Ha/atom. The space-group type is F-43m (216).

---

A relaxed structure of TbPrAgPt, computed with PBE.

Structure (extended XYZ):
```
4
Lattice="-3.047 0.301 -2.391 2.846 -0.511 -3.690 0.821 -5.585 1.406" Properties=species:S:1:pos:R:3 pbc="T T T"
Pt -0.582 -4.501 0.175
Tb -0.612 -4.062 -2.887
Pr -0.198 -1.531 0.059
Ag -0.215 -0.985 -3.007
```

Computed properties:
Its distance to the lowest polymorph of the same formula is 0.0 meV per atom. The space-group type is Amm2 (38).

---

Magnetic moment across the listed records, respectively: 0.00, 11.50, 0.00, 0.00, 0.00, 0.00, 0.00, 0.00, 0.00, 0.00, 0.00, 0.00 μB per cell.